A plane-wave DFT calculation with PBE+U was carried out for a geometry-optimized MnP2O8 structure.

Structure (POSCAR):
```
MnP2O8
1.0
-4.055 -3.253 1.360
3.917 -6.064 -2.825
6.734 -6.843 3.705
Mn P O
2 4 16
Cartesian
6.256 -10.281 -0.637
7.594 -15.331 1.896
4.850 -7.198 -0.303
-0.561 -4.632 0.317
3.743 -7.302 1.855
5.100 -13.121 2.595
5.197 -6.761 1.259
6.024 -11.754 2.393
3.396 -7.739 0.293
-1.484 -5.999 0.518
5.710 -8.309 -0.824
-1.259 -3.392 0.783
2.885 -6.190 2.375
5.797 -14.362 2.129
0.667 -9.240 0.192
0.859 -4.807 0.748
3.871 -8.514 2.719
7.735 -9.691 0.803
6.902 -7.495 2.820
4.994 -10.480 0.604
1.691 -7.007 -1.270
-0.454 -7.274 2.306
```

Properties
energy	-144.9	eV for the cell shown
magnetization	2.0	μB/cell
E above lowest polymorph	276	meV per atom
DOS(E_F)	2.4	states/eV/cell